Entry 1:
A relaxed structure of Nd2BeHg, computed with PBE.

Unit cell a=3.6381 b=3.6381 c=7.5718 alpha=90.00 beta=90.00 gamma=90.00
With the nearest neighbours (Å) after each atom.
Space group P4/mmm (No. 123)
Unique sites:
Nd (0.0000, 0.0000, 0.2212) (multiplicity 2)  4 Be 3.07, 4 Hg 3.33, 1 Nd 3.35
Be (0.5000, 0.5000, 0.0000) (multiplicity 1)  8 Nd 3.07
Hg (0.5000, 0.5000, 0.5000) (multiplicity 1)  8 Nd 3.33, 4 Hg 3.64

Computed properties:
Mass density: 8.25 Mg/m³
N(E_F): 0.78 states/eV per atom
Total magnetic moment: 0.00 μB/f.u.
Formation energy from the elements: -0.145 eV/atom
Crystal system: tetragonal

Entry 2:
A relaxed structure of CsKRb2S, computed with PBE.

Unit cell a=6.6758 b=6.6758 c=6.9803 alpha=90.00 beta=90.00 gamma=90.00
With the nearest neighbours (Å) after each atom.
Space group P4/mmm (No. 123)
Unique sites:
Cs (0.0000, 0.0000, 0.0000) (multiplicity 1)  2 S 3.49
K (0.5000, 0.5000, 0.0000) (multiplicity 1)  4 Cs 4.72, 8 Rb 4.83
Rb (0.0000, 0.5000, 0.5000) (multiplicity 2)  2 S 3.34
S (0.0000, 0.0000, 0.5000) (multiplicity 1)  4 Rb 3.34, 2 Cs 3.49

Computed properties:
Formation energy from raw total energies: -508 meV/atom
Mass density: 2.00 Mg/m³
N(E_F): 0.40 states/eV per atom
Total magnetic moment: 0.00 μB/f.u.
Excess energy over the best structure of this formula in the dataset: 0.000 kcal/mol of atoms
Crystal system: tetragonal

Entry 3:
A relaxed structure of V5CrFe4, computed with PBE.

Unit cell a=2.8862 b=2.8862 c=14.3439 alpha=90.00 beta=90.00 gamma=90.00
With the nearest neighbours (Å) after each atom.
Space group P4/mmm (No. 123)
Unique sites:
V (0.0000, 0.0000, 0.0000) (multiplicity 1)  8 Fe 2.50
V (0.0000, 0.0000, 0.1997) (multiplicity 2)  8 Fe 2.48-2.49
V (0.0000, 0.0000, 0.4012) (multiplicity 2)  4 Cr 2.48, 4 Fe 2.52
Cr (0.5000, 0.5000, 0.5000) (multiplicity 1)  8 V 2.48
Fe (0.5000, 0.5000, 0.1004) (multiplicity 2)  8 V 2.49-2.50
Fe (0.5000, 0.5000, 0.2979) (multiplicity 2)  8 V 2.48-2.52

Computed properties:
Mass density: 7.37 Mg/m³
N(E_F): 1.00 states/eV per atom
Total magnetic moment: 2.30 μB/f.u.
Formation energy from the elements: -0.135 eV/atom
Crystal system: tetragonal

Entry 4:
A relaxed structure of Sc3Zn8Ni, computed with PBE.

Unit cell a=5.1379 b=5.1379 c=25.4137 alpha=90.00 beta=90.00 gamma=120.00
With the nearest neighbours (Å) after each atom.
Space group R3m (No. 160, hexagonal axes)
Unique sites:
Sc (0.0000, 0.0000, 0.0000) (multiplicity 3)  12 Zn 2.93-3.04, 1 Sc 3.17, 3 Ni 3.19
Sc (0.0000, 0.0000, 0.1249) (multiplicity 3)  12 Zn 3.00-3.14, 4 Sc 3.17-3.26
Sc (0.0000, 0.0000, 0.5117) (multiplicity 3)  1 Ni 2.76, 9 Zn 2.93-3.06
Zn (0.0000, 0.0000, 0.3151) (multiplicity 3)  6 Zn 2.55-2.57
Zn (0.0000, 0.0000, 0.8160) (multiplicity 3)  6 Zn 2.60-2.62
Zn (0.0007, 0.5004, 0.5670) (multiplicity 9)  6 Zn 2.55-2.60
Zn (0.1676, 0.3351, 0.3974) (multiplicity 9)  6 Zn 2.56-2.62
Ni (0.0000, 0.0000, 0.6204) (multiplicity 3)  1 Sc 2.76, 9 Zn 2.91-3.05

Computed properties:
Mass density: 6.15 Mg/m³
N(E_F): 0.62 states/eV per atom
Total magnetic moment: 0.00 μB/f.u.
Formation energy from the elements: -0.271 eV/atom
Crystal system: trigonal

Entry 5:
A relaxed structure of NaFe2H, computed with PBE.

Unit cell a=5.3355 b=5.3355 c=7.5363 alpha=90.00 beta=90.00 gamma=90.00
With the nearest neighbours (Å) after each atom.
Space group I4_1/amd (No. 141, origin choice 2)
Unique sites:
Na (0.0000, 0.2500, 0.3750) (multiplicity 4)  12 Fe 3.13, 4 H 3.27, 4 Na 3.27
Fe (0.0000, 0.0000, 0.0000) (multiplicity 8)  2 H 1.63
H (0.0000, 0.2500, 0.8750) (multiplicity 4)  4 Fe 1.63

Computed properties:
Mass density: 4.20 Mg/m³
N(E_F): 0.72 states/eV per atom
Total magnetic moment: 4.83 μB/f.u.
Excess energy over the best structure of this formula in the dataset: 0.000 kcal/mol of atoms
Crystal system: tetragonal

Entry 6:
A relaxed structure of TaZnRe2, computed with PBE.

Unit cell a=4.3009 b=4.3009 c=3.3317 alpha=90.00 beta=90.00 gamma=90.00
With the nearest neighbours (Å) after each atom.
Space group P4/mmm (No. 123)
Unique sites:
Ta (0.0000, 0.0000, 0.0000) (multiplicity 1)  8 Re 2.72, 4 Zn 3.04
Zn (0.5000, 0.5000, 0.0000) (multiplicity 1)  8 Re 2.72, 4 Ta 3.04
Re (0.0000, 0.5000, 0.5000) (multiplicity 2)  4 Zn 2.72, 4 Ta 2.72, 4 Re 3.04

Computed properties:
Mass density: 16.67 Mg/m³
N(E_F): 0.71 states/eV per atom
Total magnetic moment: 0.00 μB/f.u.
Formation energy from the elements: 0.099 eV/atom
Crystal system: tetragonal

Entry 7:
A relaxed structure of BaLaCd3, computed with PBE.

Unit cell a=5.8481 b=5.8481 c=5.8481 alpha=90.00 beta=90.00 gamma=90.00
With the nearest neighbours (Å) after each atom.
Space group Pm-3m (No. 221)
Unique sites:
Ba (0.0000, 0.0000, 0.0000) (multiplicity 1)  6 Cd 2.92
La (0.5000, 0.5000, 0.5000) (multiplicity 1)  12 Cd 4.14
Cd (0.0000, 0.0000, 0.5000) (multiplicity 3)  2 Ba 2.92

Computed properties:
Mass density: 5.09 Mg/m³
N(E_F): 1.06 states/eV per atom
Total magnetic moment: 0.00 μB/f.u.
Formation energy from the elements: 0.572 eV/atom
Excess energy over the best structure of this formula in the dataset: 20.059 kcal/mol of atoms
Crystal system: cubic

Entry 8:
A relaxed structure of KRb3Tl4Br8, computed with PBE.

Unit cell a=9.6798 b=9.6798 c=23.6350 alpha=90.00 beta=90.00 gamma=120.00
With the nearest neighbours (Å) after each atom.
Space group R-3m (No. 166, hexagonal axes)
Unique sites:
K (0.0000, 0.0000, 0.0000) (multiplicity 3)  6 Br 3.39
Rb (0.0000, 0.5000, 0.0000) (multiplicity 9)  6 Br 3.45
Tl (0.0000, 0.0000, 0.5000) (multiplicity 3)  6 Br 3.45
Tl (0.0000, 0.5000, 0.5000) (multiplicity 9)  6 Br 3.39
Br (0.0000, 0.0000, 0.2475) (multiplicity 6)  3 Tl 3.39, 3 Rb 3.45
Br (0.0061, 0.5031, 0.7509) (multiplicity 18)  3 Tl 3.39-3.45, 1 K 3.39, 2 Rb 3.45

Computed properties:
Formation energy from raw total energies: -1303 meV/atom
Mass density: 4.55 Mg/m³
N(E_F): 0.00 states/eV per atom
Total magnetic moment: 0.00 μB/f.u.
Crystal system: trigonal